Material: Ba2FeAu
Method: DFT, meta-GGA SCAN
State: single point on PBEsol structure

Unit cell a=5.4088 b=5.5568 c=7.8041 alpha=90.00 beta=90.00 gamma=90.00
Space group Immm (No. 71)
Symmetry-distinct sites (fractional):
1 Ba 0.0000 0.0000 0.2468 [4 per cell]
2 Fe 0.0000 0.5000 0.5000 [2 per cell]
3 Au 0.0000 0.5000 0.0000 [2 per cell]

Values from the calculation:
**E_form**: 0.10 eV/f.u.
**Energy above the lowest structure with this stoichiometry**: 60 kJ/mol of formula units
**Density of states at the Fermi level**: 6.1 states/eV per cell

Material: Na3B6ClO10
Method: DFT, meta-GGA SCAN
State: single point on PBEsol structure

Unit cell a=7.4888 b=9.9367 c=12.8432 alpha=90.00 beta=90.00 gamma=90.00
Space group P2_12_12_1 (No. 19)
Symmetry-distinct sites (fractional):
1 Na 0.0306 0.2379 0.2535 [4 per cell]
2 Na 0.0602 0.2043 0.7578 [4 per cell]
3 Na 0.0836 0.9908 0.0650 [4 per cell]
4 B 0.0110 0.7272 0.9746 [4 per cell]
5 B 0.0250 0.2656 0.9802 [4 per cell]
6 B 0.1186 0.4970 0.9323 [4 per cell]
7 B 0.2417 0.6302 0.5887 [4 per cell]
8 B 0.2441 0.6315 0.0902 [4 per cell]
9 B 0.2448 0.5003 0.2562 [4 per cell]
10 Cl 0.1665 0.9776 0.2738 [4 per cell]
11 O 0.0014 0.6133 0.9152 [4 per cell]
12 O 0.0182 0.3735 0.9147 [4 per cell]
13 O 0.0672 0.6500 0.5419 [4 per cell]
14 O 0.0781 0.3423 0.5512 [4 per cell]
15 O 0.1176 0.7365 0.0619 [4 per cell]
16 O 0.1337 0.2607 0.0667 [4 per cell]
17 O 0.1832 0.4992 0.0444 [4 per cell]
18 O 0.2272 0.4964 0.3625 [4 per cell]
19 O 0.2285 0.6181 0.7024 [4 per cell]
20 O 0.2418 0.6216 0.2046 [4 per cell]

Values from the calculation:
**Density of states at the Fermi level**: 0.0 states/eV per cell
**Energy**: -178.3 eV/f.u.

The highest density of states at the Fermi level belongs to which entry?
Ba2FeAu